A plane-wave DFT calculation with PBE-GGA was carried out for a relaxed structure of GdDyIr2.

Lattice parameters (Å, degrees): 4.8704 4.8704 4.8704 60.00 60.00 60.00
Fractional coordinates of all 4 atoms:
Gd 0.0000 0.0000 0.0000
Dy 0.5000 0.5000 0.5000
Ir 0.2500 0.2500 0.2500
Ir 0.7500 0.7500 0.7500

Formation enthalpy at 0 K: -0.7702 eV per atom
Total energy: -9.871 eV/atom
Mass density: 14314 kg/m3

=====

A plane-wave DFT calculation with PBE-GGA was carried out for a relaxed structure of Gd3DyIr.

Lattice parameters (Å, degrees): 5.4731 5.4731 5.4731 90.00 90.00 90.00
Fractional coordinates of all 5 atoms:
Gd 0.0000 0.0000 0.5000
Gd 0.0000 0.5000 0.0000
Gd 0.5000 0.0000 0.0000
Dy 0.5000 0.5000 0.5000
Ir 0.0000 0.0000 0.0000

Formation enthalpy at 0 K: -0.2285 eV per atom
Total energy: -11.370 eV/atom
Mass density: 8371 kg/m3

=====

A plane-wave DFT calculation with PBE-GGA was carried out for a relaxed structure of LiGdDyIr.

Lattice parameters (Å, degrees): 4.9386 4.9386 4.9386 60.00 60.00 60.00
Fractional coordinates of all 4 atoms:
Li 0.0000 0.0000 0.0000
Gd 0.7500 0.7500 0.7500
Dy 0.2500 0.2500 0.2500
Ir 0.5000 0.5000 0.5000

Formation enthalpy at 0 K: -0.5418 eV per atom
Total energy: -7.906 eV/atom
Mass density: 10117 kg/m3

=====

A plane-wave DFT calculation with PBE-GGA was carried out for a relaxed structure of GdDyMnIr.

Lattice parameters (Å, degrees): 4.9365 4.9365 4.9365 60.00 60.00 60.00
Fractional coordinates of all 4 atoms:
Gd 0.0000 0.0000 0.0000
Dy 0.5000 0.5000 0.5000
Mn 0.2500 0.2500 0.2500
Ir 0.7500 0.7500 0.7500

Formation enthalpy at 0 K: -0.2573 eV per atom
Total energy: -9.436 eV/atom
Mass density: 11067 kg/m3

=====

A plane-wave DFT calculation with PBE-GGA was carried out for a relaxed structure of GdDyIrOs.

Lattice parameters (Å, degrees): 4.8519 4.8519 4.8519 60.00 60.00 60.00
Fractional coordinates of all 4 atoms:
Gd 0.0000 0.0000 0.0000
Dy 0.5000 0.5000 0.5000
Ir 0.7500 0.7500 0.7500
Os 0.2500 0.2500 0.2500

Formation enthalpy at 0 K: -0.3948 eV per atom
Total energy: -10.088 eV/atom
Mass density: 14437 kg/m3

=====

A plane-wave DFT calculation with PBE-GGA was carried out for a relaxed structure of GdDyIrPd.

Lattice parameters (Å, degrees): 4.9204 4.9204 4.9204 60.00 60.00 60.00
Fractional coordinates of all 4 atoms:
Gd 0.0000 0.0000 0.0000
Dy 0.5000 0.5000 0.5000
Ir 0.2500 0.2500 0.2500
Pd 0.7500 0.7500 0.7500

Formation enthalpy at 0 K: -0.8635 eV per atom
Total energy: -9.048 eV/atom
Mass density: 12191 kg/m3

=====

A plane-wave DFT calculation with PBE-GGA was carried out for a relaxed structure of GdDyIrPt.

Lattice parameters (Å, degrees): 4.9153 4.9153 4.9153 60.00 60.00 60.00
Fractional coordinates of all 4 atoms:
Gd 0.0000 0.0000 0.0000
Dy 0.5000 0.5000 0.5000
Ir 0.7500 0.7500 0.7500
Pt 0.2500 0.2500 0.2500

Formation enthalpy at 0 K: -0.9865 eV per atom
Total energy: -9.383 eV/atom
Mass density: 13982 kg/m3

=====

A plane-wave DFT calculation with PBE-GGA was carried out for a relaxed structure of GdDyIrRh.

Lattice parameters (Å, degrees): 4.8682 4.8682 4.8682 60.00 60.00 60.00
Fractional coordinates of all 4 atoms:
Gd 0.0000 0.0000 0.0000
Dy 0.5000 0.5000 0.5000
Ir 0.2500 0.2500 0.2500
Rh 0.7500 0.7500 0.7500

Formation enthalpy at 0 K: -0.8280 eV per atom
Total energy: -9.552 eV/atom
Mass density: 12515 kg/m3

=====

A plane-wave DFT calculation with PBE-GGA was carried out for a relaxed structure of GdDyIrRu.

Lattice parameters (Å, degrees): 4.8481 4.8481 4.8481 60.00 60.00 60.00
Fractional coordinates of all 4 atoms:
Gd 0.0000 0.0000 0.0000
Dy 0.5000 0.5000 0.5000
Ir 0.7500 0.7500 0.7500
Ru 0.2500 0.2500 0.2500

Formation enthalpy at 0 K: -0.5588 eV per atom
Total energy: -9.764 eV/atom
Mass density: 12634 kg/m3

=====

A plane-wave DFT calculation with PBE-GGA was carried out for a relaxed structure of GdDyScIr.

Lattice parameters (Å, degrees): 5.0445 5.0445 5.0445 60.00 60.00 60.00
Fractional coordinates of all 4 atoms:
Gd 0.0000 0.0000 0.0000
Dy 0.5000 0.5000 0.5000
Sc 0.2500 0.2500 0.2500
Ir 0.7500 0.7500 0.7500

Formation enthalpy at 0 K: -0.2454 eV per atom
Total energy: -8.714 eV/atom
Mass density: 10189 kg/m3

=====

A plane-wave DFT calculation with PBE-GGA was carried out for a relaxed structure of GdDyTlIr.

Lattice parameters (Å, degrees): 5.1220 5.1220 5.1220 60.00 60.00 60.00
Fractional coordinates of all 4 atoms:
Gd 0.0000 0.0000 0.0000
Dy 0.5000 0.5000 0.5000
Tl 0.7500 0.7500 0.7500
Ir 0.2500 0.2500 0.2500

Formation enthalpy at 0 K: -0.4663 eV per atom
Total energy: -7.944 eV/atom
Mass density: 12519 kg/m3

=====

A plane-wave DFT calculation with PBE-GGA was carried out for a relaxed structure of GdDyZnIr.

Lattice parameters (Å, degrees): 4.9515 4.9515 4.9515 60.00 60.00 60.00
Fractional coordinates of all 4 atoms:
Gd 0.0000 0.0000 0.0000
Dy 0.5000 0.5000 0.5000
Zn 0.2500 0.2500 0.2500
Ir 0.7500 0.7500 0.7500

Formation enthalpy at 0 K: -0.6072 eV per atom
Total energy: -7.812 eV/atom
Mass density: 11169 kg/m3

=====

A plane-wave DFT calculation with PBE-GGA was carried out for a relaxed structure of LaGdDy2.

Lattice parameters (Å, degrees): 5.1154 5.1154 5.0648 90.00 90.00 90.00
Fractional coordinates of all 4 atoms:
La 0.0000 0.0000 0.0000
Gd 0.5000 0.5000 0.0000
Dy 0.0000 0.5000 0.5000
Dy 0.5000 0.0000 0.5000

Formation enthalpy at 0 K: 0.0237 eV per atom
Total energy: -7.029 eV/atom
Mass density: 7782 kg/m3

=====

A plane-wave DFT calculation with PBE-GGA was carried out for a relaxed structure of LaGdDy2.

Lattice parameters (Å, degrees): 3.6285 3.6285 10.0719 90.00 90.00 90.00
Fractional coordinates of all 4 atoms:
La 0.0000 0.0000 0.0000
Gd 0.0000 0.0000 0.5000
Dy 0.5000 0.5000 0.2555
Dy 0.5000 0.5000 0.7445

Formation enthalpy at 0 K: 0.0317 eV per atom
Total energy: -7.021 eV/atom
Mass density: 7778 kg/m3

=====

A plane-wave DFT calculation with PBE-GGA was carried out for a relaxed structure of La2GdDy.

Lattice parameters (Å, degrees): 5.8206 5.8206 5.8206 60.00 60.00 60.00
Fractional coordinates of all 4 atoms:
La 0.2500 0.2500 0.2500
La 0.7500 0.7500 0.7500
Gd 0.0000 0.0000 0.0000
Dy 0.5000 0.5000 0.5000

Formation enthalpy at 0 K: 0.0897 eV per atom
Total energy: -7.045 eV/atom
Mass density: 7116 kg/m3

=====

A plane-wave DFT calculation with PBE-GGA was carried out for a relaxed structure of LaGdDy2.

Lattice parameters (Å, degrees): 11.8958 11.8958 11.8958 17.44 17.44 17.44
Fractional coordinates of all 4 atoms:
La 0.0000 0.0000 0.0000
Gd 0.5000 0.5000 0.5000
Dy 0.2488 0.2488 0.2488
Dy 0.7512 0.7512 0.7512

Formation enthalpy at 0 K: 0.0226 eV per atom
Total energy: -7.031 eV/atom
Mass density: 7817 kg/m3

=====

A plane-wave DFT calculation with PBE-GGA was carried out for a relaxed structure of LaGdDy.

Lattice parameters (Å, degrees): 3.6351 3.6351 8.8306 90.00 90.00 120.00
Fractional coordinates of all 3 atoms:
La 0.0000 0.0000 0.0000
Gd 0.6667 0.3333 0.3408
Dy 0.3333 0.6667 0.6652

Formation enthalpy at 0 K: 0.0209 eV per atom
Total energy: -7.849 eV/atom
Mass density: 7537 kg/m3

=====

A plane-wave DFT calculation with PBE-GGA was carried out for a relaxed structure of LaGdDy.

Lattice parameters (Å, degrees): 8.0132 8.0132 8.0132 153.63 153.63 37.64
Fractional coordinates of all 3 atoms:
La 0.0000 0.0000 0.0000
Gd 0.6713 0.6713 0.0000
Dy 0.3335 0.3335 0.0000

Formation enthalpy at 0 K: 0.0240 eV per atom
Total energy: -7.846 eV/atom
Mass density: 7514 kg/m3

=====

A plane-wave DFT calculation with PBE-GGA was carried out for a relaxed structure of La2GdDy.

Lattice parameters (Å, degrees): 3.6848 3.6848 10.1885 90.00 90.00 90.00
Fractional coordinates of all 4 atoms:
La 0.0000 0.0000 0.2473
La 0.0000 0.0000 0.7527
Gd 0.5000 0.5000 0.5000
Dy 0.5000 0.5000 0.0000

Formation enthalpy at 0 K: 0.0174 eV per atom
Total energy: -7.117 eV/atom
Mass density: 7173 kg/m3

=====

A plane-wave DFT calculation with PBE-GGA was carried out for a relaxed structure of LaGdDy2.

Lattice parameters (Å, degrees): 5.7464 5.7464 5.7464 60.00 60.00 60.00
Fractional coordinates of all 4 atoms:
La 0.0000 0.0000 0.0000
Gd 0.5000 0.5000 0.5000
Dy 0.2500 0.2500 0.2500
Dy 0.7500 0.7500 0.7500

Formation enthalpy at 0 K: 0.1074 eV per atom
Total energy: -6.946 eV/atom
Mass density: 7687 kg/m3